# 1
A geometry-optimized Y3C5 structure, computed with PBE-GGA.

Computed properties:
Volume in Å³ per atom: 15.218
Calculated formation energy in kJ/mol of formula units: 197
Raw total energy in eV/atom: -7.934
Excess energy over the best structure of this formula in the dataset in eV/atom: 0.469

a b c (Å): 6.4665 6.4665 6.7236
angles (deg): 90.00 90.00 120.00
Space group P6_3/mcm (No. 193)
Asymmetric unit:
Y1 0.0000 0.4439 0.2500
C1 0.0000 0.1278 0.7500
C2 0.3333 0.6667 0.0000

---

# 2
A geometry-optimized Cr2HgPt structure, computed with PBE-GGA.

Computed properties:
Volume in Å³ per atom: 16.636
Calculated formation energy in kJ/mol of formula units: 332
Raw total energy in eV/atom: -5.536

a b c (Å): 7.108 7.108 5.269
angles (deg): 90.00 90.00 90.00
Space group I-42d (No. 122)
Asymmetric unit:
Cr1 0.220 0.750 0.125
Hg1 0.000 0.000 0.500
Pt1 0.000 0.000 0.000

---

# 3
A geometry-optimized Pm3Pr4Sc structure, computed with PBE-GGA.

Computed properties:
Volume in Å³ per atom: 34.237
Calculated formation energy in kJ/mol of formula units: 37
Raw total energy in eV/atom: -4.915
Excess energy over the best structure of this formula in the dataset in eV/atom: 0.000

a b c (Å): 11.756 7.353 6.337
angles (deg): 90.00 90.00 90.00
Space group Pmn2_1 (No. 31)
Asymmetric unit:
Pm1 0.000 0.123 0.000
Pm2 0.249 0.119 0.328
Pr1 0.000 0.370 0.506
Pr2 0.000 0.630 0.988
Pr3 0.242 0.631 0.337
Sc1 0.000 0.881 0.496

---

# 4
A geometry-optimized LiMgSi2Pd2 structure, computed with PBE-GGA.

Computed properties:
Volume in Å³ per atom: 15.076
Raw total energy in eV/atom: -4.651
Formation energy without anion corrections in meV per atom: -527

a b c (Å): 4.2600 4.2600 5.7556
angles (deg): 90.00 90.00 120.00
Space group P-3m1 (No. 164)
Asymmetric unit:
Li1 0.0000 0.0000 0.0000
Mg1 0.0000 0.0000 0.5000
Si1 0.3333 0.6667 0.7863
Pd1 0.3333 0.6667 0.2326

---

# 5
A geometry-optimized FeReAu2 structure, computed with PBE-GGA.

Computed properties:
Volume in Å³ per atom: 16.083
Calculated formation energy in kJ/mol of formula units: 223
Raw total energy in eV/atom: -6.289
Excess energy over the best structure of this formula in the dataset in eV/atom: 0.351

a b c (Å): 2.784 4.741 4.873
angles (deg): 90.00 90.00 90.00
Space group Pmmm (No. 47)
Asymmetric unit:
Fe1 0.000 0.000 0.000
Re1 0.500 0.500 0.000
Au1 0.000 0.500 0.500
Au2 0.500 0.000 0.500

---

# 6
A geometry-optimized Tb2Pr3Hg2 structure, computed with PBE-GGA.

Computed properties:
Volume in Å³ per atom: 30.450
Calculated formation energy in kJ/mol of formula units: -157
Raw total energy in eV/atom: -3.689
Excess energy over the best structure of this formula in the dataset in eV/atom: 0.000

a b c (Å): 5.5146 5.5146 24.2841
angles (deg): 90.00 90.00 120.00
Space group R-3m (No. 166, hexagonal axes)
Asymmetric unit:
Tb1 0.0000 0.0000 0.0746
Pr1 0.0000 0.0000 0.3410
Pr2 0.0000 0.0000 0.5000
Hg1 0.0000 0.0000 0.2111

---

# 7
A geometry-optimized Rb2Na3Au2 structure, computed with PBE-GGA.

Computed properties:
Volume in Å³ per atom: 35.447
Calculated formation energy in kJ/mol of formula units: -128
Raw total energy in eV/atom: -1.968

a b c (Å): 12.818 4.981 8.650
angles (deg): 90.00 116.04 90.00
Space group C2/m (No. 12)
Asymmetric unit:
Rb1 0.144 0.000 0.290
Na1 0.000 0.500 0.500
Na2 0.149 0.500 0.936
Au1 0.135 0.000 0.706

---

# 8
A geometry-optimized La2TbDyP4 structure, computed with PBE-GGA.

Computed properties:
Volume in Å³ per atom: 25.215
Calculated formation energy in kJ/mol of formula units: -1221
Raw total energy in eV/atom: -6.673

a b c (Å): 7.181 4.148 7.182
angles (deg): 90.00 109.45 90.00
Space group P2/m (No. 10)
Asymmetric unit:
La1 0.000 0.000 0.000
La2 0.500 0.500 0.000
Tb1 0.000 0.500 0.500
Dy1 0.500 0.000 0.500
P1 0.246 0.000 0.737
P2 0.255 0.500 0.263